Density functional theory data (GGA+U) for a relaxed structure of PaCoB2O6.

Geometry as CIF:
```
data_PaCoB2O6
_chemical_formula_sum 'Pa4 Co4 B8 O24'
_cell_length_a 9.465
_cell_length_b 8.830
_cell_length_c 4.791
_cell_angle_alpha 90.00
_cell_angle_beta 102.82
_cell_angle_gamma 90.00
_symmetry_space_group_name_H-M 'C 1 2/c 1'
_symmetry_Int_Tables_number 15
loop_
_symmetry_equiv_pos_as_xyz
'x,y,z'
'-x,-y,-z'
'-x,y,-z+1/2'
'x,-y,z+1/2'
'x+1/2,y+1/2,z'
'-x+1/2,-y+1/2,-z'
'-x+1/2,y+1/2,-z+1/2'
'x+1/2,-y+1/2,z+1/2'
loop_
_atom_site_label
_atom_site_fract_x
_atom_site_fract_y
_atom_site_fract_z
Pa1 0.000 0.209 0.250
Co1 0.000 0.399 0.750
B1 0.211 0.082 0.775
O1 0.134 0.407 0.164
O2 0.139 0.223 0.666
O3 0.152 0.034 0.030
```

## Properties
For the final energy, the calculation gives -327.92 eV per cell. Its total moment is 8.0 Bohr magnetons per cell.